VASP calculation (PBE-GGA) on crystalline TcAs2Pt at its relaxed geometry.

a = 4.3674 Å, b = 4.3674 Å, c = 5.1482 Å
α = 80.35°, β = 80.35°, γ = 41.46°
Positions (direct):
Tc1 0.2500 0.2500 0.2500
As1 0.5148 0.5148 0.4763
Pt1 0.7500 0.7500 0.7500
As2 0.9852 0.9852 0.0237

Summary:
spin magnetization	0.00	μB per atom
energy relative to the lowest polymorph listed for this composition	0.39	eV/f.u.
calculated volume	15.99	Å³/atom
N(E_F)	3.05	states/eV per cell

VASP calculation (PBE-GGA) on crystalline Li4PdAu at its relaxed geometry.

a = 3.2258 Å, b = 3.2258 Å, c = 8.5893 Å
α = 89.99°, β = 89.99°, γ = 90.00°
Positions (direct):
Li1 0.5000 0.4999 0.8470
Li2 0.5000 0.5001 0.1530
Au1 0.5000 0.5000 0.5000
Pd1 0.0000 0.0000 0.0000
Li3 0.0000 0.0001 0.3378
Li4 0.0000 0.9999 0.6622

Summary:
spin magnetization	0.00	μB per atom
energy relative to the lowest polymorph listed for this composition	0.00	eV/f.u.
calculated volume	14.90	Å³/atom
N(E_F)	0.99	states/eV per cell

VASP calculation (PBE-GGA) on crystalline NiPd3N at its relaxed geometry.

a = 4.0947 Å, b = 4.0947 Å, c = 4.0947 Å
α = 90.00°, β = 90.00°, γ = 90.00°
Site moments in Bohr magnetons follow the coordinates.
Positions (direct):
N1 0.0000 0.0000 0.0000  0.00
Pd1 0.0000 0.0000 0.5000  0.03
Ni1 0.5000 0.5000 0.5000  0.82
Pd2 0.0000 0.5000 0.0000  0.02
Pd3 0.5000 0.0000 0.0000  0.06

Summary:
spin magnetization	0.18	μB per atom
uncorrected formation energy	0.400	eV/atom
energy relative to the lowest polymorph listed for this composition	0.00	eV/f.u.
calculated volume	13.73	Å³/atom
N(E_F)	6.04	states/eV per cell

VASP calculation (PBE-GGA) on crystalline CaErOs2O8 at its relaxed geometry.

a = 5.2332 Å, b = 5.2332 Å, c = 6.7302 Å
α = 112.88°, β = 112.88°, γ = 90.00°
Site moments in Bohr magnetons follow the coordinates.
Positions (direct):
O1 0.9900 0.4180 0.3391  0.10
O2 0.5820 0.6509 0.6609  0.10
Ca1 0.0000 0.0000 0.0000  0.02
Os1 0.5000 0.5000 0.0000  0.96
O3 0.4222 0.3339 0.1715  0.13
O4 0.3491 0.9211 0.3391  0.10
O5 0.6661 0.2507 0.8285  0.13
Er1 0.7500 0.2500 0.5000  0.06
O6 0.1624 0.5778 0.8285  0.13
Os2 0.2500 0.7500 0.5000  0.79
O7 0.0789 0.0100 0.6609  0.10
O8 0.7493 0.8376 0.1715  0.13

Summary:
spin magnetization	0.25	μB per atom
uncorrected formation energy	-1.762	eV/atom
calculated volume	12.83	Å³/atom
N(E_F)	5.37	states/eV per cell

VASP calculation (PBE-GGA) on crystalline Ba3MgCd at its relaxed geometry.

a = 6.6309 Å, b = 6.6309 Å, c = 6.6309 Å
α = 90.00°, β = 90.00°, γ = 90.00°
Positions (direct):
Ba1 0.0000 0.0000 0.5000
Ba2 0.5000 0.0000 0.0000
Ba3 0.0000 0.5000 0.0000
Cd1 0.0000 0.0000 0.0000
Mg1 0.5000 0.5000 0.5000

Summary:
spin magnetization	0.12	μB per atom
energy relative to the lowest polymorph listed for this composition	1.50	eV/f.u.
calculated volume	58.31	Å³/atom
N(E_F)	10.36	states/eV per cell

VASP calculation (PBE-GGA) on crystalline InCo2Cu at its relaxed geometry.

a = 5.4298 Å, b = 3.9389 Å, c = 5.8641 Å
α = 90.00°, β = 117.67°, γ = 90.00°
Site moments in Bohr magnetons follow the coordinates.
Positions (direct):
Co1 0.3685 0.5000 0.8633  1.51
Co2 0.7549 0.5000 0.7944  1.55
In1 0.9721 0.0000 0.6208  -0.06
Cu1 0.7289 0.0000 0.0771  0.05
In2 0.1228 0.5000 0.3068  -0.04
Co3 0.6216 0.5000 0.3286  1.26
Cu2 0.2965 0.0000 0.1154  0.01
Co4 0.4784 0.0000 0.6071  1.41

Summary:
spin magnetization	0.69	μB per atom
uncorrected energy	-5.0667	eV/atom
calculated volume	13.88	Å³/atom
N(E_F)	8.93	states/eV per cell

VASP calculation (PBE-GGA) on crystalline SrRu3Pb at its relaxed geometry.

a = 4.9700 Å, b = 4.9700 Å, c = 4.9700 Å
α = 90.00°, β = 90.00°, γ = 90.00°
Site moments in Bohr magnetons follow the coordinates.
Positions (direct):
Ru1 0.5000 0.0000 0.0000  1.37
Sr1 0.0000 0.0000 0.0000  -0.04
Ru2 0.0000 0.5000 0.0000  1.48
Pb1 0.5000 0.5000 0.5000  -0.07
Ru3 0.0000 0.0000 0.5000  1.37

Summary:
spin magnetization	0.82	μB per atom
energy relative to the lowest polymorph listed for this composition	4.23	eV/f.u.
calculated volume	24.55	Å³/atom
N(E_F)	8.35	states/eV per cell

VASP calculation (PBE-GGA) on crystalline InGa2Bi at its relaxed geometry.

a = 3.8248 Å, b = 3.8248 Å, c = 6.7316 Å
α = 90.00°, β = 90.00°, γ = 90.00°
Positions (direct):
In1 0.5000 0.5000 0.0000
Bi1 0.5000 0.5000 0.5000
Ga1 0.0000 0.0000 0.7647
Ga2 0.0000 0.0000 0.2353

Summary:
spin magnetization	0.00	μB per atom
energy relative to the lowest polymorph listed for this composition	0.04	eV/f.u.
calculated volume	24.62	Å³/atom
N(E_F)	1.51	states/eV per cell

VASP calculation (PBE-GGA) on crystalline BeAgIO2 at its relaxed geometry.

a = 3.7026 Å, b = 3.7026 Å, c = 6.3088 Å
α = 90.00°, β = 90.00°, γ = 90.00°
Positions (direct):
O1 0.5000 0.0000 0.0000
Be1 0.0000 0.0000 0.0000
Ag1 0.5000 0.5000 0.5000
O2 0.0000 0.5000 0.0000
I1 0.0000 0.0000 0.5000

Summary:
spin magnetization	0.00	μB per atom
uncorrected formation energy	-0.098	eV/atom
energy relative to the lowest polymorph listed for this composition	0.00	eV/f.u.
calculated volume	17.30	Å³/atom
N(E_F)	5.94	states/eV per cell

VASP calculation (PBE-GGA) on crystalline KNd4Te6 at its relaxed geometry.

a = 4.5428 Å, b = 7.8395 Å, c = 23.7572 Å
α = 90.00°, β = 90.00°, γ = 106.84°
Positions (direct):
Te1 0.0440 0.0880 0.1580
Te2 0.9560 0.9120 0.6580
Nd1 0.5929 0.1859 0.8686
Te3 0.2282 0.4564 0.5825
K1 0.3391 0.6782 0.7500
Te4 0.6626 0.3251 0.7500
Nd2 0.1346 0.2691 0.0409
Te5 0.5000 0.0000 0.5000
Nd3 0.8654 0.7309 0.5409
K2 0.6609 0.3218 0.2500
Te6 0.7718 0.5436 0.0825
Te7 0.9560 0.9120 0.8420
Te8 0.0440 0.0880 0.3420
Nd4 0.5929 0.1859 0.6314
Nd5 0.8654 0.7309 0.9591
Te9 0.7718 0.5436 0.4175
Te10 0.5000 0.0000 0.0000
Nd6 0.4071 0.8141 0.1314
Te11 0.2282 0.4564 0.9175
Nd7 0.1346 0.2691 0.4591
Te12 0.3374 0.6749 0.2500
Nd8 0.4071 0.8141 0.3686

Summary:
spin magnetization	0.00	μB per atom
uncorrected formation energy	-1.391	eV/atom
calculated volume	36.81	Å³/atom
N(E_F)	5.73	states/eV per cell